A plane-wave DFT calculation with PBE-GGA was carried out for a geometry-optimized In2GaBMo structure.

The value obtained for the energy relative to the elements is 1.757 eV per atom. As for the crystal system: tetragonal. For the total magnetization, the calculation gives 2.691 Bohr magnetons per cell.

It has space group P4/mmm (No. 123), with a = 5.1127 Å, b = 5.1127 Å, c = 4.9264 Å, α = 90.00°, β = 90.00° and γ = 90.00°. The distinct sites, in fractional coordinates, are In at (0.0000, 0.5000, 0.0000), Ga at (0.0000, 0.0000, 0.0000), B at (0.5000, 0.5000, 0.5000) and Mo at (0.0000, 0.0000, 0.5000).